No. 1
First-principles (PBEsol) data for an optimized crystal structure of HgPb2W, as listed in Alexandria via LeMat-Bulk.

abc: 2.9795 4.8026 13.7312
angles: 90.00 90.00 90.00
Space group Imm2 (No. 44)
One atom of each set of equivalent atoms:
Hg 0.0000 0.0000 0.0000 (multiplicity 2)
Pb 0.0000 0.0000 0.6247 (multiplicity 2)
Pb 0.0000 0.5000 0.8192 (multiplicity 2)
W 0.0000 0.5000 0.3177 (multiplicity 2)

Summary:
The value obtained for the magnetic moment is 0.0 Bohr magnetons per cell. For the formation energy, the calculation gives 0.659 eV per atom. The value obtained for the density of states at the Fermi level is 2.263 states/eV/f.u. The calculated total energy comes out at -4.934 eV/atom.


No. 2
First-principles (PBEsol) data for an optimized crystal structure of ScAl2Ir2, as listed in Alexandria via LeMat-Bulk.

abc: 7.3318 7.3318 2.8153
angles: 90.00 90.00 90.00
Space group P4/mbm (No. 127)
One atom of each set of equivalent atoms:
Sc 0.0000 0.0000 0.0000 (multiplicity 2)
Al 0.1260 0.3740 0.0000 (multiplicity 4)
Ir 0.1711 0.6711 0.5000 (multiplicity 4)

Summary:
The value obtained for the magnetic moment is 0.4 Bohr magnetons per cell. For the formation energy, the calculation gives -0.857 eV per atom. The value obtained for the density of states at the Fermi level is 2.386 states/eV/f.u. The calculated total energy comes out at -7.744 eV/atom.


No. 3
First-principles (PBEsol) data for an optimized crystal structure of Li2CaMg, as listed in Alexandria via LeMat-Bulk.

abc: 3.3386 5.0232 6.2398
angles: 90.00 98.59 90.00
Space group P2/m (No. 10)
One atom of each set of equivalent atoms:
Li 0.2360 0.0000 0.2852 (multiplicity 2)
Ca 0.5000 0.5000 0.0000 (multiplicity 1)
Mg 0.0000 0.5000 0.5000 (multiplicity 1)

Summary:
The value obtained for the magnetic moment is 0.0 Bohr magnetons per cell. For the formation energy, the calculation gives 0.041 eV per atom. The value obtained for the density of states at the Fermi level is 3.316 states/eV/f.u. The calculated total energy comes out at -1.905 eV/atom.